Record 1
Density functional theory data (meta-GGA SCAN) for a PBEsol-optimized structure of Mg2ZnAs.

The structure belongs to space group Cmm2 (No. 35); the cell edges are 4.3722, 4.4180 and 7.9520 Å and the angles 90.00°, 90.00° and 90.00°. The inequivalent atoms are Mg at (0.0000, 0.0000, 0.0000), Mg at (0.0000, 0.5000, 0.3022), Zn at (0.0000, 0.0000, 0.5411) and As at (0.0000, 0.5000, 0.7613).

The calculation puts the energy at -87.284 eV for the cell shown. Its density of states at the Fermi level is 1.4 states/eV/f.u. The excess energy over the best structure of this formula in the dataset comes out at 240 meV per atom. The calculation puts the calculated formation energy at 0.003 eV/atom.

***

Record 2
Density functional theory data (meta-GGA SCAN) for a PBEsol-optimized structure of Mg2ZrAs.

The structure belongs to space group Imm2 (No. 44); the cell edges are 3.9380, 4.2281 and 9.1328 Å and the angles 90.00°, 90.00° and 90.00°. The inequivalent atoms are Mg at (0.0000, 0.0000, 0.0000), Mg at (0.0000, 0.5000, 0.2359), Zr at (0.0000, 0.5000, 0.7577) and As at (0.0000, 0.0000, 0.5017).

The calculation puts the energy at -124.406 eV for the cell shown. Its density of states at the Fermi level is 1.3 states/eV/f.u. The calculation puts the calculated formation energy at -0.342 eV/atom.